1:
Crystalline Al5C3 at its relaxed geometry. Source: Alexandria, functional GGA-PBE.

a b c (Å): 6.5810 6.5810 5.6388
angles (deg): 99.75 99.75 115.71
With the nearest neighbours (Å) after each atom.
Atoms (fractional coordinates):
Al 0.0000 0.0000 0.0000  3 C 2.05-2.10
Al 0.1776 0.4812 0.2812  4 C 1.97-2.19
Al 0.1971 0.9350 0.5615  3 C 1.94-2.01
Al 0.3693 0.3693 0.8675  3 C 2.07-2.08
Al 0.4812 0.1776 0.2812  4 C 1.97-2.19
Al 0.5418 0.7765 0.6874  2 C 1.99-2.14
Al 0.5780 0.8139 0.1587  2 C 1.97-2.04
Al 0.7765 0.5418 0.6874  2 C 1.99-2.14
Al 0.8139 0.5780 0.1587  2 C 1.97-2.04
Al 0.9350 0.1971 0.5615  3 C 1.94-2.01
C 0.0477 0.3085 0.9243  4 Al 1.94-2.07
C 0.3085 0.0477 0.9243  4 Al 1.94-2.07
C 0.4067 0.8610 0.3997  5 Al 1.96-2.19
C 0.4113 0.4113 0.5177  5 Al 2.08-2.14
C 0.8610 0.4067 0.3997  5 Al 1.96-2.19
C 0.9208 0.9208 0.3286  5 Al 2.01-2.10

Values from the calculation:
V = 13.0 A^3/atom
spin magnetization = 0.0 μB/f.u.
Fermi-level density of states = 0.864 states/eV/cell

=====

2:
Crystalline Al5C3 at its relaxed geometry. Source: Alexandria, functional GGA-PBE.

a b c (Å): 2.7101 2.7101 12.3418
angles (deg): 90.00 90.00 90.00
With the nearest neighbours (Å) after each atom.
Atoms (fractional coordinates):
Al 0.0000 0.0000 0.0000  8 C 2.38, 2 Al 2.61
Al 0.0000 0.0000 0.2117  4 C 2.26
Al 0.0000 0.0000 0.7883  4 C 2.26
Al 0.5000 0.5000 0.3925  4 C 2.33
Al 0.5000 0.5000 0.6075  4 C 2.33
C 0.0000 0.0000 0.5000  8 Al 2.33
C 0.5000 0.5000 0.1139  8 Al 2.26-2.38
C 0.5000 0.5000 0.8861  8 Al 2.26-2.38

Values from the calculation:
V = 11.3 A^3/atom
spin magnetization = 0.0 μB/f.u.
Fermi-level density of states = 3.296 states/eV/cell

=====

Name the most stable of them. 1.